Here is crystalline ScBC at its relaxed geometry from Alexandria via LeMat-Bulk. Energies are from GGA-PBE.

It has space group Cmcm (No. 63), with a = 4.676 Å, b = 7.820 Å, c = 3.773 Å, α = 90.00°, β = 90.00° and γ = 90.00°. The inequivalent atoms are Sc at (0.000, 0.191, 0.250), B at (0.000, 0.500, 0.000) and C at (0.000, 0.343, 0.750).

The uncorrected energy comes out at -92.2 eV per cell.


Here is crystalline ScBC at its relaxed geometry from Alexandria via LeMat-Bulk. Energies are from GGA-PBE.

It has space group P6_3/mmc (No. 194), with a = 2.9173 Å, b = 2.9173 Å, c = 7.3196 Å, α = 90.00°, β = 90.00° and γ = 120.00°. The inequivalent atoms are Sc at (0.0000, 0.0000, 0.0000), B at (0.3333, 0.6667, 0.2500) and C at (0.3333, 0.6667, 0.7500).

The uncorrected energy comes out at -48.1 eV per cell.


Here is crystalline Sc2Tc2B2C at its relaxed geometry from Alexandria via LeMat-Bulk. Energies are from GGA-PBE.

It has space group C2/m (No. 12), with a = 10.276 Å, b = 3.231 Å, c = 6.590 Å, α = 90.00°, β = 125.51° and γ = 90.00°. The inequivalent atoms are Sc at (0.068, 0.000, 0.318), Tc at (0.211, 0.500, 0.816), B at (0.102, 0.500, 0.050) and C at (0.000, 0.500, 0.500).

The uncorrected energy comes out at -119.3 eV per cell.


Here is crystalline Th2ScB6C3 at its relaxed geometry from Alexandria via LeMat-Bulk. Energies are from GGA-PBE.

It has space group P6/mmm (No. 191), with a = 6.6125 Å, b = 6.6125 Å, c = 3.6017 Å, α = 90.00°, β = 90.00° and γ = 120.00°. The inequivalent atoms are Th at (0.3333, 0.6667, 0.0000), Sc at (0.0000, 0.0000, 0.0000), B at (0.0000, 0.2717, 0.5000) and C at (0.0000, 0.5000, 0.5000).

The uncorrected energy comes out at -96.0 eV per cell.


Here is crystalline B3CSe at its relaxed geometry from Alexandria via LeMat-Bulk. Energies are from GGA-PBE.

It has space group Pm-3m (No. 221), with a = 4.008 Å, b = 4.008 Å, c = 4.008 Å, α = 90.00°, β = 90.00° and γ = 90.00°. The inequivalent atoms are B at (0.000, 0.000, 0.500), C at (0.500, 0.500, 0.500) and Se at (0.000, 0.000, 0.000).

The energy relative to the elements, uncorrected comes out at 3147 meV/atom. The uncorrected energy comes out at -17.0 eV per cell.


Here is crystalline B2CSe at its relaxed geometry from Alexandria via LeMat-Bulk. Energies are from GGA-PBE.

It has space group Fm-3m (No. 225), with a = 5.388 Å, b = 5.388 Å, c = 5.388 Å, α = 90.00°, β = 90.00° and γ = 90.00°. The inequivalent atoms are B at (0.250, 0.250, 0.250), C at (0.000, 0.000, 0.000) and Se at (0.000, 0.000, 0.500).

The energy relative to the elements, uncorrected comes out at 2598 meV/atom. The uncorrected energy comes out at -62.7 eV per cell.